Material: Li2HgB
Method: DFT, GGA-PBE
State: relaxed

Summary:
D(E_F) = 1.7 states/eV/f.u.
total magnetic moment = 0.00 μB/f.u.
DFT formation energy = 127 kJ/mol of formula units

a b c (Å): 9.276 9.276 4.182
angles (deg): 90.00 90.00 90.00
Space group I-42d (No. 122)
Unique sites:
Li: 0.001 0.750 0.125
Hg: 0.000 0.000 0.500
B: 0.000 0.000 0.000

Material: Rb3TlHg2Cl8
Method: DFT, GGA-PBE
State: relaxed

Summary:
D(E_F) = 0.0 states/eV/f.u.
formation energy without anion corrections = -1.217 eV per atom
total magnetic moment = 0.00 μB/f.u.

a b c (Å): 8.0148 8.0148 9.5372
angles (deg): 90.00 90.00 120.00
Space group P-3m1 (No. 164)
Unique sites:
Rb: 0.0000 0.0000 0.0000
Rb: 0.3333 0.6667 0.5834
Tl: 0.0000 0.0000 0.5000
Hg: 0.3333 0.6667 0.1669
Cl: 0.1719 0.3438 0.3012
Cl: 0.3333 0.6667 0.9132

Material: K2BaRe
Method: DFT, GGA-PBE
State: relaxed

Summary:
D(E_F) = 3.2 states/eV/f.u.
total magnetic moment = 2.02 μB/f.u.
DFT formation energy = 435 kJ/mol of formula units

a b c (Å): 3.785 3.723 12.264
angles (deg): 90.00 90.13 90.00
Space group Pm (No. 6)
Unique sites:
K: 0.000 0.000 0.000
K: 0.495 0.500 0.336
Ba: 0.999 0.000 0.656
Re: 0.500 0.500 0.813

Material: Mg2BiSb
Method: DFT, GGA-PBE
State: relaxed

Summary:
D(E_F) = 1.7 states/eV/f.u.
formation energy without anion corrections = -0.167 eV per atom
total magnetic moment = 0.00 μB/f.u.

a b c (Å): 4.6277 4.6277 18.2682
angles (deg): 90.00 90.00 120.00
Space group R3m (No. 160, hexagonal axes)
Unique sites:
Mg: 0.0000 0.0000 0.0000
Mg: 0.0000 0.0000 0.1778
Bi: 0.0000 0.0000 0.4194
Sb: 0.0000 0.0000 0.5922

Material: TmGa2Ag3
Method: DFT, GGA-PBE
State: relaxed

Summary:
D(E_F) = 2.1 states/eV/f.u.
total magnetic moment = 0.00 μB/f.u.
DFT formation energy = -147 kJ/mol of formula units

a b c (Å): 15.846 4.410 6.917
angles (deg): 90.00 107.89 90.00
Space group C2/m (No. 12)
Unique sites:
Tm: 0.119 0.000 0.175
Ga: 0.013 0.500 0.825
Ga: 0.233 0.000 0.669
Ag: 0.067 0.000 0.693
Ag: 0.132 0.500 0.497
Ag: 0.192 0.500 0.925

Material: CaLaTe2
Method: DFT, GGA-PBE
State: relaxed

Summary:
D(E_F) = 0.9 states/eV/f.u.
formation energy without anion corrections = -1.557 eV per atom
total magnetic moment = 0.89 μB/f.u.

a b c (Å): 4.4199 4.4199 23.8071
angles (deg): 90.00 90.00 120.00
Space group R3m (No. 160, hexagonal axes)
Unique sites:
Ca: 0.0000 0.0000 0.0000
La: 0.0000 0.0000 0.1698
Te: 0.0000 0.0000 0.4153
Te: 0.0000 0.0000 0.5896

Material: TlNCl2
Method: DFT, GGA-PBE
State: relaxed

Summary:
D(E_F) = 0.0 states/eV/f.u.
formation energy without anion corrections = 0.577 eV per atom
total magnetic moment = 0.00 μB/f.u.

a b c (Å): 6.491 6.491 9.230
angles (deg): 90.00 90.00 90.00
Space group I4_1/amd (No. 141, origin choice 2)
Unique sites:
Tl: 0.000 0.250 0.375
N: 0.000 0.250 0.875
Cl: 0.000 0.000 0.000

Material: ReNiHg2
Method: DFT, GGA-PBE
State: relaxed

Summary:
D(E_F) = 3.6 states/eV/f.u.
total magnetic moment = 0.63 μB/f.u.
DFT formation energy = 305 kJ/mol of formula units

a b c (Å): 2.914 4.909 9.466
angles (deg): 90.00 90.00 90.00
Space group Immm (No. 71)
Unique sites:
Re: 0.000 0.000 0.000
Ni: 0.000 0.000 0.500
Hg: 0.000 0.500 0.231

Material: Ca2Nd2Sm3
Method: DFT, GGA-PBE
State: relaxed

Summary:
D(E_F) = 11.9 states/eV/f.u.
total magnetic moment = 0.00 μB/f.u.
DFT formation energy = 60 kJ/mol of formula units

a b c (Å): 11.635 5.288 8.216
angles (deg): 90.00 98.99 90.00
Space group C2/m (No. 12)
Unique sites:
Ca: 0.069 0.000 0.215
Nd: 0.218 0.000 0.644
Sm: 0.000 0.500 0.500
Sm: 0.150 0.500 0.925

Material: Ho5Tm4Tl2
Method: DFT, GGA-PBE
State: relaxed

Summary:
D(E_F) = 12.9 states/eV/f.u.
total magnetic moment = 0.00 μB/f.u.
DFT formation energy = 90 kJ/mol of formula units

a b c (Å): 22.511 3.528 9.129
angles (deg): 90.00 106.96 90.00
Space group C2/m (No. 12)
Unique sites:
Ho: 0.000 0.000 0.000
Ho: 0.128 0.500 0.954
Ho: 0.175 0.500 0.382
Tm: 0.015 0.500 0.322
Tm: 0.102 0.000 0.616
Tl: 0.235 0.000 0.820

Material: Zr2Nb2V
Method: DFT, GGA-PBE
State: relaxed

Summary:
D(E_F) = 6.3 states/eV/f.u.
total magnetic moment = 1.30 μB/f.u.
DFT formation energy = 403 kJ/mol of formula units

a b c (Å): 4.000 4.000 13.399
angles (deg): 90.00 90.00 90.00
Space group I4/mmm (No. 139)
Unique sites:
Zr: 0.000 0.500 0.250
Nb: 0.000 0.000 0.087
V: 0.000 0.000 0.500

Material: Sm2ZrAl
Method: DFT, GGA-PBE
State: relaxed

Summary:
D(E_F) = 3.4 states/eV/f.u.
total magnetic moment = 0.00 μB/f.u.
DFT formation energy = -30 kJ/mol of formula units

a b c (Å): 3.432 3.432 9.012
angles (deg): 90.00 90.00 90.00
Space group P4/mmm (No. 123)
Unique sites:
Sm: 0.000 0.000 0.231
Zr: 0.500 0.500 0.500
Al: 0.500 0.500 0.000

Material: OsRu
Method: DFT, GGA-PBE
State: relaxed

Summary:
D(E_F) = 1.2 states/eV/f.u.
total magnetic moment = 0.00 μB/f.u.
DFT formation energy = -2 kJ/mol of formula units

a b c (Å): 9.880 2.737 4.745
angles (deg): 90.00 118.67 90.00
Space group C2/m (No. 12)
Unique sites:
Os: 0.126 0.000 0.460
Ru: 0.124 0.500 0.956

Material: Sc8AlHg2
Method: DFT, GGA-PBE
State: relaxed

Summary:
D(E_F) = 14.7 states/eV/f.u.
total magnetic moment = 1.79 μB/f.u.
DFT formation energy = -131 kJ/mol of formula units

a b c (Å): 8.143 13.884 4.974
angles (deg): 90.00 113.18 90.00
Space group C2/m (No. 12)
Unique sites:
Sc: 0.000 0.213 0.000
Sc: 0.107 0.500 0.802
Sc: 0.208 0.111 0.613
Al: 0.000 0.000 0.000
Hg: 0.000 0.306 0.500

Material: SbSe4
Method: DFT, GGA-PBE
State: relaxed

Summary:
D(E_F) = 6.5 states/eV/f.u.
formation energy without anion corrections = 0.749 eV per atom
total magnetic moment = 2.45 μB/f.u.

a b c (Å): 5.336 5.336 5.336
angles (deg): 90.00 90.00 90.00
Space group Pm-3m (No. 221)
Unique sites:
Sb: 0.000 0.000 0.000
Se: 0.000 0.000 0.500
Se: 0.500 0.500 0.500

Material: Tb6Nd2SmHo3
Method: DFT, GGA-PBE
State: relaxed

Summary:
D(E_F) = 15.7 states/eV/f.u.
total magnetic moment = 0.00 μB/f.u.
DFT formation energy = 19 kJ/mol of formula units

a b c (Å): 6.198 10.730 11.851
angles (deg): 90.00 100.00 90.00
Space group C2/m (No. 12)
Unique sites:
Tb: 0.248 0.000 0.246
Tb: 0.248 0.333 0.246
Nd: 0.000 0.333 0.500
Sm: 0.000 0.000 0.500
Ho: 0.000 0.167 0.000
Ho: 0.000 0.500 0.000

Material: MnAlZnIr
Method: DFT, GGA-PBE
State: relaxed

Summary:
D(E_F) = 2.1 states/eV/f.u.
total magnetic moment = 3.52 μB/f.u.
DFT formation energy = -142 kJ/mol of formula units

a b c (Å): 6.063 6.063 6.063
angles (deg): 90.00 90.00 90.00
Space group F-43m (No. 216)
Unique sites:
Mn: 0.000 0.000 0.000
Al: 0.250 0.250 0.750
Zn: 0.250 0.250 0.250
Ir: 0.000 0.000 0.500

Material: Mn2GeN
Method: DFT, GGA-PBE
State: relaxed

Summary:
D(E_F) = 2.8 states/eV/f.u.
formation energy without anion corrections = 0.080 eV per atom
total magnetic moment = 4.79 μB/f.u.

a b c (Å): 2.8935 2.8935 6.7828
angles (deg): 90.00 90.00 120.00
Space group P3m1 (No. 156)
Unique sites:
Mn: 0.0000 0.0000 0.0000
Mn: 0.3333 0.6667 0.3132
Ge: 0.6667 0.3333 0.7325
N: 0.6667 0.3333 0.4510

Material: RbAlAg2
Method: DFT, GGA-PBE
State: relaxed

Summary:
D(E_F) = 1.1 states/eV/f.u.
total magnetic moment = 0.00 μB/f.u.
DFT formation energy = -6 kJ/mol of formula units

a b c (Å): 4.620 7.576 6.879
angles (deg): 90.00 90.00 90.00
Space group Pmmn (No. 59, origin choice 2)
Unique sites:
Rb: 0.250 0.250 0.106
Al: 0.250 0.750 0.410
Ag: 0.250 0.067 0.593

Material: B5C7
Method: DFT, GGA-PBE
State: relaxed

Summary:
D(E_F) = 1.6 states/eV/f.u.
total magnetic moment = 0.00 μB/f.u.
DFT formation energy = 456 kJ/mol of formula units

a b c (Å): 2.608 7.989 3.830
angles (deg): 90.00 90.00 90.00
Space group Pmm2 (No. 25)
Unique sites:
B: 0.000 0.000 0.000
B: 0.000 0.188 0.321
B: 0.500 0.339 0.759
C: 0.000 0.337 0.048
C: 0.000 0.500 0.273
C: 0.500 0.000 0.763
C: 0.500 0.155 0.539
C: 0.500 0.500 0.512